No. 1
First-principles (PBE) data for Al2CdCuIr after structural relaxation, as listed in Alexandria via LeMat-Bulk.

ΔE_f (meV/atom): 643
Space-group type: P4/mmm

Cell lengths 4.4257, 4.4257, 4.7368 Å; angles 90.00, 90.00, 90.00 degrees
Positions (direct):
Al (0.0000, 0.5000, 0.0000)
Al (0.5000, 0.0000, 0.0000)
Cd (0.0000, 0.0000, 0.5000)
Cu (0.0000, 0.0000, 0.0000)
Ir (0.5000, 0.5000, 0.5000)

=====

No. 2
First-principles (PBE) data for NiP3 after structural relaxation, as listed in Alexandria via LeMat-Bulk.

ΔE_f (meV/atom): 147
Space-group type: Immm

Cell lengths 5.6443, 5.6443, 5.6443 Å; angles 145.98, 144.19, 50.23 degrees
Positions (direct):
Ni (0.0000, 0.0000, 0.0000)
P (0.3371, 0.8371, 0.5000)
P (0.5000, 0.5000, 0.0000)
P (0.6629, 0.1629, 0.5000)

=====

No. 3
First-principles (PBE) data for CuBAs3 after structural relaxation, as listed in Alexandria via LeMat-Bulk.

ΔE_f (meV/atom): 886
Space-group type: Pm-3m

Cell lengths 4.3677, 4.3677, 4.3677 Å; angles 90.00, 90.00, 90.00 degrees
Positions (direct):
Cu (0.0000, 0.0000, 0.0000)
B (0.5000, 0.5000, 0.5000)
As (0.0000, 0.5000, 0.5000)
As (0.5000, 0.0000, 0.5000)
As (0.5000, 0.5000, 0.0000)

=====

No. 4
First-principles (PBE) data for La4Pm3Pr5 after structural relaxation, as listed in Alexandria via LeMat-Bulk.

ΔE_f (meV/atom): 180
Space-group type: C2/m

Cell lengths 8.8858, 8.8858, 9.5761 Å; angles 114.53, 114.53, 40.61 degrees
Positions (direct):
La (0.0834, 0.0834, 0.4392)
La (0.2141, 0.2141, 0.8779)
La (0.7859, 0.7859, 0.1221)
La (0.9166, 0.9166, 0.5608)
Pm (0.2086, 0.2086, 0.2244)
Pm (0.5000, 0.5000, 0.0000)
Pm (0.7914, 0.7914, 0.7756)
Pr (0.0000, 0.0000, 0.0000)
Pr (0.3286, 0.3286, 0.6098)
Pr (0.4259, 0.4259, 0.2997)
Pr (0.5741, 0.5741, 0.7003)
Pr (0.6714, 0.6714, 0.3902)

=====

No. 5
First-principles (PBE) data for OsRhF2 after structural relaxation, as listed in Alexandria via LeMat-Bulk.

ΔE_f (raw) (eV per atom): 0.660
Space-group type: Fm-3m

Cell lengths 4.1950, 4.1950, 4.1950 Å; angles 60.00, 60.00, 60.00 degrees
Positions (direct):
Os (0.0000, 0.0000, 0.0000)
Rh (0.5000, 0.5000, 0.5000)
F (0.2500, 0.2500, 0.2500)
F (0.7500, 0.7500, 0.7500)

=====

No. 6
First-principles (PBE) data for Pr3DyTl2 after structural relaxation, as listed in Alexandria via LeMat-Bulk.

ΔE_f (meV/atom): -180
Space-group type: C2/m

Cell lengths 8.6739, 8.6739, 10.4302 Å; angles 117.38, 117.38, 34.13 degrees
Positions (direct):
Pr (0.0415, 0.0415, 0.3599)
Pr (0.2888, 0.2888, 0.6217)
Pr (0.3660, 0.3660, 0.3250)
Pr (0.6340, 0.6340, 0.6750)
Pr (0.7112, 0.7112, 0.3783)
Pr (0.9585, 0.9585, 0.6401)
Dy (0.1180, 0.1180, 0.0651)
Dy (0.8820, 0.8820, 0.9349)
Tl (0.2423, 0.2423, 0.8996)
Tl (0.4883, 0.4883, 0.1370)
Tl (0.5117, 0.5117, 0.8630)
Tl (0.7577, 0.7577, 0.1004)

=====

No. 7
First-principles (PBE) data for MgZn2Au2 after structural relaxation, as listed in Alexandria via LeMat-Bulk.

ΔE_f (meV/atom): -287
Space-group type: P4/mbm

Cell lengths 7.4034, 7.4034, 3.1344 Å; angles 90.00, 90.00, 90.00 degrees
Positions (direct):
Mg (0.0000, 0.0000, 0.0000)
Mg (0.5000, 0.5000, 0.0000)
Zn (0.1230, 0.3770, 0.0000)
Zn (0.3770, 0.8770, 0.0000)
Zn (0.6230, 0.1230, 0.0000)
Zn (0.8770, 0.6230, 0.0000)
Au (0.1769, 0.6769, 0.5000)
Au (0.3231, 0.1769, 0.5000)
Au (0.6769, 0.8231, 0.5000)
Au (0.8231, 0.3231, 0.5000)

=====

No. 8
First-principles (PBE) data for LuAg2Au after structural relaxation, as listed in Alexandria via LeMat-Bulk.

ΔE_f (meV/atom): -323
Space-group type: P4/mmm

Cell lengths 4.1632, 4.1632, 4.6600 Å; angles 90.00, 90.00, 90.00 degrees
Positions (direct):
Lu (0.0000, 0.0000, 0.0000)
Ag (0.0000, 0.5000, 0.5000)
Ag (0.5000, 0.0000, 0.5000)
Au (0.5000, 0.5000, 0.0000)

=====

No. 9
First-principles (PBE) data for BaSr2Ca after structural relaxation, as listed in Alexandria via LeMat-Bulk.

ΔE_f (meV/atom): 22
Space-group type: Imm2

Cell lengths 7.8057, 7.8057, 7.8057 Å; angles 144.42, 129.44, 63.34 degrees
Positions (direct):
Ba (0.0000, 0.0000, 0.0000)
Sr (0.4892, 0.4892, 0.0000)
Sr (0.7419, 0.2419, 0.5000)
Ca (0.2490, 0.7490, 0.5000)

=====

No. 10
First-principles (PBE) data for NpTi2Pd after structural relaxation, as listed in Alexandria via LeMat-Bulk.

ΔE_f (meV/atom): -98
Space-group type: P4/mmm

Cell lengths 4.8038, 4.8038, 2.9366 Å; angles 90.00, 90.00, 90.00 degrees
Positions (direct):
Np (0.0000, 0.0000, 0.0000)
Ti (0.0000, 0.5000, 0.5000)
Ti (0.5000, 0.0000, 0.5000)
Pd (0.5000, 0.5000, 0.0000)

=====

No. 11
First-principles (PBE) data for Ni3Se4S2 after structural relaxation, as listed in Alexandria via LeMat-Bulk.

ΔE_f (raw) (eV per atom): -0.107
Space-group type: P-6m2

Cell lengths 3.5205, 3.5205, 16.5930 Å; angles 90.00, 90.00, 120.00 degrees
Positions (direct):
Ni (0.0000, 0.0000, 0.0000)
Ni (0.3333, 0.6667, 0.3332)
Ni (0.3333, 0.6667, 0.6668)
Se (0.0000, 0.0000, 0.2533)
Se (0.0000, 0.0000, 0.4124)
Se (0.0000, 0.0000, 0.5876)
Se (0.0000, 0.0000, 0.7467)
S (0.3333, 0.6667, 0.0649)
S (0.3333, 0.6667, 0.9351)

=====

No. 12
First-principles (PBE) data for BC5 after structural relaxation, as listed in Alexandria via LeMat-Bulk.

ΔE_f (meV/atom): 293
Space-group type: P-1

Cell lengths 4.4499, 4.4634, 4.4772 Å; angles 70.90, 60.42, 81.20 degrees
Positions (direct):
B (0.2198, 0.0786, 0.4718)
B (0.7802, 0.9214, 0.5282)
C (0.1582, 0.9326, 0.8653)
C (0.1609, 0.4429, 0.3518)
C (0.1647, 0.5651, 0.9815)
C (0.4946, 0.4384, 0.6913)
C (0.4957, 0.0682, 0.8203)
C (0.5043, 0.9318, 0.1797)
C (0.5054, 0.5616, 0.3087)
C (0.8353, 0.4349, 0.0185)
C (0.8391, 0.5571, 0.6482)
C (0.8418, 0.0674, 0.1347)

=====

What did we get for DFT total energy? Answer: -3.63, -5.36, -4.06, -4.64, -4.92, -4.13, -2.43, -3.70, -1.80, -8.58, -4.50, -8.51 eV per atom, in the order shown.
What did we get for M_tot? Answer: 0.00, 0.00, 0.00, 0.00, 4.58, 0.00, 0.00, 0.00, 0.00, 3.28, 0.00, 0.00 μB/f.u., in the order shown.
What did we get for D(E_F)? Answer: 3.8, 2.0, 2.8, 21.0, 5.7, 12.3, 2.5, 2.1, 4.8, 6.0, 4.6, 0.8 states/eV per cell, in the order shown.